Model a:
Ca2W | PBE-GGA | relaxed

Calculated values
N(E_F): 2.1 states/eV per cell

CIF file:
```
data_Ca2W
_cell_length_a 3.2147
_cell_length_b 3.2147
_cell_length_c 8.4639
_cell_angle_alpha 90.00
_cell_angle_beta 90.00
_cell_angle_gamma 120.00
_symmetry_space_group_name_H-M 'P -3 m 1'
_symmetry_Int_Tables_number 164
_symmetry_space_group_name_Hall '-P 3 2"'
loop_
_atom_site_label
_atom_site_fract_x
_atom_site_fract_y
_atom_site_fract_z
Ca1 0.3333 0.6667 0.2963
W1 0.0000 0.0000 0.0000
```

=====

Model b:
Ca2W | PBE-GGA | relaxed

Calculated values
N(E_F): 16.9 states/eV per cell

CIF file:
```
data_Ca2W
_cell_length_a 2.953
_cell_length_b 18.006
_cell_length_c 5.529
_cell_angle_alpha 90.00
_cell_angle_beta 90.00
_cell_angle_gamma 90.00
_symmetry_space_group_name_H-M 'C m c m'
_symmetry_Int_Tables_number 63
_symmetry_space_group_name_Hall '-C 2c 2'
loop_
_atom_site_label
_atom_site_fract_x
_atom_site_fract_y
_atom_site_fract_z
Ca1 0.000 0.044 0.250
Ca2 0.000 0.283 0.750
W1 0.000 0.379 0.250
```

=====

Here is how they stack up, most stable first: model a, model b.